1.
Density functional theory data (PBE) for BeAl3Sn after structural relaxation.

* SG: Pm-3m (221)
* DOS at the Fermi energy: 2.36 states/eV per cell

abc: 4.5259 4.5259 4.5259
angles: 90.00 90.00 90.00
Last column: nearest neighbours and their distance in Å.
Fractional coordinates of all 5 atoms:
Be 0.0000 0.0000 0.0000  6 Al 2.26
Sn 0.5000 0.5000 0.5000  12 Al 3.20
Al 0.0000 0.5000 0.0000  2 Be 2.26
Al 0.0000 0.0000 0.5000  2 Be 2.26
Al 0.5000 0.0000 0.0000  2 Be 2.26



2.
Density functional theory data (PBE) for AgBiRu3 after structural relaxation.

* SG: Pm-3m (221)
* DOS at the Fermi energy: 6.78 states/eV per cell

abc: 4.8744 4.8744 4.8744
angles: 90.00 90.00 90.00
Last column: nearest neighbours and their distance in Å.
Fractional coordinates of all 5 atoms:
Ru 0.0000 0.5000 0.0000  2 Ag 2.44
Ru 0.0000 0.0000 0.5000  2 Ag 2.44
Ru 0.5000 0.0000 0.0000  2 Ag 2.44
Bi 0.5000 0.5000 0.5000  12 Ru 3.45
Ag 0.0000 0.0000 0.0000  6 Ru 2.44



Number 1: E above lowest polymorph 0.0 meV/atom. Number 2: E above lowest polymorph 0.0 meV/atom.